A geometry-optimized TiCu2SnP structure, computed with PBE-GGA.

Its crystal system is tetragonal. The value obtained for the energy of formation is 0.4154 eV/atom. The value obtained for the volume is 101.5 Å³/cell.

The structure belongs to space group P4/mmm (No. 123); the cell edges are 4.2167, 4.2167 and 5.7079 Å and the angles 90.00°, 90.00° and 90.00°. Symmetry generates all atoms from Ti at (0.0000, 0.0000, 0.0000), Cu at (0.0000, 0.5000, 0.5000), Sn at (0.5000, 0.5000, 0.0000) and P at (0.5000, 0.5000, 0.5000).